FeH8S2NO10 | Alexandria | PBE with a Hubbard U | optimized geometry; space-group type = P1; DFT total energy = -5.6138 eV/atom
1.0
4.6162 -0.0869 0.0150
-0.8556 5.6331 -0.0147
-1.2380 -1.7658 8.6219
Fe H S N O
1 8 2 1 10
Direct
0.9960 0.9972 0.0002
0.9696 0.3501 0.8348
0.0160 0.6446 0.1670
0.6677 0.3157 0.9120
0.3239 0.6801 0.0941
0.1782 0.9139 0.5210
0.0814 0.1843 0.5698
0.9490 0.0129 0.3913
0.8255 0.9246 0.5481
0.6097 0.2798 0.2322
0.3773 0.7159 0.7652
0.0069 0.0081 0.5067
0.8351 0.2410 0.8858
0.1506 0.7510 0.1133
0.7988 0.0915 0.1839
0.1919 0.9006 0.8175
0.7917 0.5270 0.2600
0.1956 0.4672 0.7356
0.4876 0.2239 0.3662
0.4887 0.7733 0.6272
0.3692 0.2587 0.0920
0.6256 0.7325 0.8993